Arrangement w

Entry from Alexandria: crystalline MnH2Ir2 at its relaxed geometry (PBE).

Lattice parameters (Å, degrees): 5.7668 5.7668 2.9984 90.00 90.00 90.00
With the nearest neighbours (Å) after each atom.
Atoms (fractional coordinates):
Mn1 0.0000 0.0000 0.0000  4 H 2.06
Mn2 0.5000 0.5000 0.0000  4 H 2.06
H1 0.2181 0.2819 0.0000  2 Ir 1.77
H2 0.2819 0.7819 0.0000  2 Ir 1.77
H3 0.7181 0.2181 0.0000  2 Ir 1.77
H4 0.7819 0.7181 0.0000  2 Ir 1.77
Ir1 0.1659 0.6659 0.5000  2 H 1.77
Ir2 0.3341 0.1659 0.5000  2 H 1.77
Ir3 0.6659 0.8341 0.5000  2 H 1.77
Ir4 0.8341 0.3341 0.5000  2 H 1.77

***

Arrangement x

Entry from Alexandria: crystalline MnH2Ir2 at its relaxed geometry (PBE).

Lattice parameters (Å, degrees): 6.4808 6.4808 6.4808 155.49 155.49 34.94
With the nearest neighbours (Å) after each atom.
Atoms (fractional coordinates):
Mn1 0.0000 0.0000 0.0000  8 Ir 2.60, 4 Mn 2.75
H1 0.2500 0.7500 0.5000  4 Ir 1.94, 4 H 1.95
H2 0.7500 0.2500 0.5000  4 Ir 1.94, 4 H 1.95
Ir1 0.3611 0.3611 0.0000  4 H 1.94
Ir2 0.6389 0.6389 0.0000  4 H 1.94

***

In eV/atom, relative to the most stable structure: arrangement w 0.000; arrangement x 0.020.

***

Arrangement w

Entry from Alexandria: crystalline MnHIr at its relaxed geometry (PBE).

Lattice parameters (Å, degrees): 5.4767 4.3777 5.2589 90.00 90.00 90.00
With the nearest neighbours (Å) after each atom.
Atoms (fractional coordinates):
Mn1 0.1720 0.2500 0.1648  4 H 2.10-2.27
Mn2 0.3280 0.7500 0.6648  4 H 2.10-2.27
Mn3 0.6720 0.2500 0.3352  4 H 2.10-2.27
Mn4 0.8280 0.7500 0.8352  4 H 2.10-2.27
H1 0.1523 0.7500 0.0489  2 Ir 1.75-1.88
H2 0.3477 0.2500 0.5489  2 Ir 1.75-1.88
H3 0.6523 0.7500 0.4511  2 Ir 1.75-1.88
H4 0.8477 0.2500 0.9511  2 Ir 1.75-1.88
Ir1 0.0469 0.2500 0.6606  2 H 1.75-1.88
Ir2 0.4531 0.7500 0.1606  2 H 1.75-1.88
Ir3 0.5469 0.2500 0.8394  2 H 1.75-1.88
Ir4 0.9531 0.7500 0.3394  2 H 1.75-1.88

***

Arrangement x

Entry from Alexandria: crystalline MnHIr at its relaxed geometry (PBE).

Lattice parameters (Å, degrees): 3.6788 3.6788 2.6294 90.00 90.00 120.00
With the nearest neighbours (Å) after each atom.
Atoms (fractional coordinates):
Mn1 0.0000 0.0000 0.0000  3 H 2.32, 6 Ir 2.44-2.55
H1 0.3333 0.6667 0.6487  3 Ir 2.14, 3 Mn 2.32
Ir1 0.6667 0.3333 0.5398  3 H 2.14

***

In eV/atom, relative to the most stable structure: arrangement w 0.000; arrangement x 0.272.

***

Arrangement w

Entry from Alexandria: crystalline Mn2HIr at its relaxed geometry (PBE).

Lattice parameters (Å, degrees): 6.4072 6.4072 6.4072 23.95 23.95 23.95
With the nearest neighbours (Å) after each atom.
Atoms (fractional coordinates):
Mn1 0.2196 0.2196 0.2196  3 H 1.83
Mn2 0.7804 0.7804 0.7804  3 H 1.83
H1 0.5000 0.5000 0.5000  6 Mn 1.83
Ir1 0.0000 0.0000 0.0000  6 Mn 2.62, 6 Ir 2.66

***

Arrangement x

Entry from Alexandria: crystalline Mn2HIr at its relaxed geometry (PBE).

Lattice parameters (Å, degrees): 6.5075 6.5075 6.5075 23.67 23.67 23.67
With the nearest neighbours (Å) after each atom.
Atoms (fractional coordinates):
Mn1 0.0000 0.0000 0.0000  3 H 1.86
Mn2 0.2217 0.2217 0.2217  3 H 1.88
H1 0.6117 0.6117 0.6117  6 Mn 1.86-1.88
Ir1 0.4430 0.4430 0.4430  6 Mn 2.59-2.62, 6 Ir 2.67

***

Arrangement y

Entry from Alexandria: crystalline Mn2HIr at its relaxed geometry (PBE).

Lattice parameters (Å, degrees): 4.7606 4.7606 4.7606 108.31 108.31 111.82
With the nearest neighbours (Å) after each atom.
Atoms (fractional coordinates):
Mn1 0.0134 0.1250 0.3884  2 H 1.73
Mn2 0.3750 0.9866 0.1116  2 H 1.73
Mn3 0.7366 0.6250 0.6116  2 H 1.73
Mn4 0.8750 0.2634 0.8884  2 H 1.73
H1 0.0000 0.0000 0.0000  4 Mn 1.73
H2 0.7500 0.2500 0.5000  4 Mn 1.73
Ir1 0.2500 0.7500 0.5000  8 Mn 2.54-2.56, 2 H 2.67
Ir2 0.5000 0.5000 0.0000  8 Mn 2.54-2.56, 2 H 2.67

***

In eV/atom, relative to the most stable structure: arrangement w 0.000; arrangement x 0.008; arrangement y 0.309.

***

Arrangement w

Entry from Alexandria: crystalline Mn2NbHIr at its relaxed geometry (PBE).

Lattice parameters (Å, degrees): 3.8817 3.8817 3.8235 90.00 90.00 90.00
With the nearest neighbours (Å) after each atom.
Atoms (fractional coordinates):
Mn1 0.0000 0.5000 0.0000  2 H 1.94
Mn2 0.5000 0.0000 0.0000  2 H 1.94
Nb1 0.0000 0.0000 0.5000  8 Mn 2.72, 4 Ir 2.74
H1 0.5000 0.5000 0.0000  2 Ir 1.91, 4 Mn 1.94
Ir1 0.5000 0.5000 0.5000  2 H 1.91

***

Arrangement x

Entry from Alexandria: crystalline Mn2NbHIr at its relaxed geometry (PBE).

Lattice parameters (Å, degrees): 3.7969 3.7969 3.9870 90.00 90.00 90.00
With the nearest neighbours (Å) after each atom.
Atoms (fractional coordinates):
Mn1 0.0000 0.5000 0.0000  2 H 1.90
Mn2 0.5000 0.0000 0.0000  2 H 1.90
Nb1 0.0000 0.0000 0.5000  2 H 1.99
H1 0.0000 0.0000 0.0000  4 Mn 1.90, 2 Nb 1.99
Ir1 0.5000 0.5000 0.5000  4 Nb 2.68, 8 Mn 2.75

***

In eV/atom, relative to the most stable structure: arrangement w 0.027; arrangement x 0.000.

***

Arrangement w

Entry from Alexandria: crystalline MnNiHIr2 at its relaxed geometry (PBE).

Lattice parameters (Å, degrees): 3.8601 3.8601 3.7469 90.00 90.00 90.00
With the nearest neighbours (Å) after each atom.
Atoms (fractional coordinates):
Mn1 0.0000 0.0000 0.0000  2 H 1.87
Ni1 0.5000 0.5000 0.0000  8 Ir 2.69, 4 Mn 2.73
H1 0.0000 0.0000 0.5000  2 Mn 1.87, 4 Ir 1.93
Ir1 0.0000 0.5000 0.5000  2 H 1.93
Ir2 0.5000 0.0000 0.5000  2 H 1.93

***

Arrangement x

Entry from Alexandria: crystalline MnNiHIr2 at its relaxed geometry (PBE).

Lattice parameters (Å, degrees): 3.8996 3.8996 3.6679 90.00 90.00 90.00
With the nearest neighbours (Å) after each atom.
Atoms (fractional coordinates):
Mn1 0.0000 0.0000 0.0000  8 Ir 2.68, 4 Ni 2.76
Ni1 0.5000 0.5000 0.0000  2 H 1.83
H1 0.5000 0.5000 0.5000  2 Ni 1.83, 4 Ir 1.95
Ir1 0.0000 0.5000 0.5000  2 H 1.95
Ir2 0.5000 0.0000 0.5000  2 H 1.95

***

In eV/atom, relative to the most stable structure: arrangement w 0.040; arrangement x 0.000.

***

Arrangement w

Entry from Alexandria: crystalline Mn2HIrOs at its relaxed geometry (PBE).

Lattice parameters (Å, degrees): 3.7735 3.7735 3.7309 90.00 90.00 90.00
With the nearest neighbours (Å) after each atom.
Atoms (fractional coordinates):
Mn1 0.0000 0.5000 0.0000  2 H 1.89
Mn2 0.5000 0.0000 0.0000  2 H 1.89
H1 0.0000 0.0000 0.0000  2 Ir 1.87, 4 Mn 1.89
Ir1 0.0000 0.0000 0.5000  2 H 1.87
Os1 0.5000 0.5000 0.5000  8 Mn 2.65, 4 Ir 2.67

***

Arrangement x

Entry from Alexandria: crystalline Mn2HIrOs at its relaxed geometry (PBE).

Lattice parameters (Å, degrees): 3.7715 3.7715 3.7591 90.00 90.00 90.00
With the nearest neighbours (Å) after each atom.
Atoms (fractional coordinates):
Mn1 0.0000 0.5000 0.0000  2 H 1.89
Mn2 0.5000 0.0000 0.0000  2 H 1.89
H1 0.0000 0.0000 0.0000  2 Os 1.88, 4 Mn 1.89
Ir1 0.5000 0.5000 0.5000  8 Mn 2.66, 4 Os 2.67
Os1 0.0000 0.0000 0.5000  2 H 1.88

***

In eV/atom, relative to the most stable structure: arrangement w 0.017; arrangement x 0.000.